(1)
A geometry-optimized TlCdHgAu2 structure. Source: Alexandria, functional PBE.

Cell: 6.8422 4.4890 8.2881 Å, 90.00 112.75 90.00°
Space group P2_1/m (No. 11)
Inequivalent atoms, fractional coordinates:
Tl: 0.1685 0.2500 0.2069
Cd: 0.1960 0.7500 0.5573
Hg: 0.3471 0.7500 0.0099
Au: 0.1668 0.2500 0.7648
Au: 0.4886 0.2500 0.6057

## Properties
The calculation puts the energy at -0.0769 hartree per atom. The value obtained for the formation energy is -64 meV per atom.

(2)
A geometry-optimized La2AlRu structure. Source: Alexandria, functional PBE.

Cell: 8.4464 3.9300 7.3882 Å, 90.00 109.27 90.00°
Space group Cm (No. 8)
Inequivalent atoms, fractional coordinates:
La: 0.0000 0.0000 0.0000
La: 0.1593 0.0000 0.5478
Al: 0.3809 0.0000 0.2725
Ru: 0.1859 0.5000 0.2772

## Properties
The calculation puts the energy at -0.2234 hartree per atom. The value obtained for the formation energy is -361 meV per atom.

(3)
A geometry-optimized LaScOs structure. Source: Alexandria, functional PBE.

Cell: 6.5588 6.5588 6.5588 Å, 90.00 90.00 90.00°
Space group F-43m (No. 216)
Inequivalent atoms, fractional coordinates:
La: 0.0000 0.0000 0.0000
Sc: 0.2500 0.2500 0.2500
Os: 0.2500 0.2500 0.7500

## Properties
The calculation puts the energy at -0.2448 hartree per atom. The energy above the most stable polymorph in this dataset comes out at 1098.0 meV/atom. The value obtained for the formation energy is 834 meV per atom.

(4)
A geometry-optimized ZrBeNi structure. Source: Alexandria, functional PBE.

Cell: 5.7740 5.7740 5.7740 Å, 90.00 90.00 90.00°
Space group F-43m (No. 216)
Inequivalent atoms, fractional coordinates:
Zr: 0.0000 0.0000 0.0000
Be: 0.0000 0.0000 0.5000
Ni: 0.2500 0.2500 0.7500

## Properties
The calculation puts the energy at -0.2206 hartree per atom. The energy above the most stable polymorph in this dataset comes out at 370.4 meV/atom. The value obtained for the formation energy is 15 meV per atom.

(5)
A geometry-optimized DyErSc6 structure. Source: Alexandria, functional PBE.

Cell: 6.6573 6.6573 4.6930 Å, 90.00 90.00 90.00°
Space group P4/mmm (No. 123)
Inequivalent atoms, fractional coordinates:
Dy: 0.0000 0.0000 0.0000
Er: 0.5000 0.5000 0.0000
Sc: 0.0000 0.5000 0.0000
Sc: 0.2504 0.2504 0.5000

## Properties
The calculation puts the energy at -0.2145 hartree per atom. The energy above the most stable polymorph in this dataset comes out at 40.9 meV/atom. The value obtained for the formation energy is 57 meV per atom.

(6)
A geometry-optimized Ta2RePt structure. Source: Alexandria, functional PBE.

Cell: 9.6845 2.7861 5.0069 Å, 90.00 98.27 90.00°
Space group Cm (No. 8)
Inequivalent atoms, fractional coordinates:
Ta: 0.0000 0.0000 0.0000
Ta: 0.2338 0.0000 0.6956
Re: 0.2552 0.5000 0.2029
Pt: 0.4874 0.0000 0.4956

## Properties
The calculation puts the energy at -0.3959 hartree per atom. The value obtained for the formation energy is -224 meV per atom.

(7)
A geometry-optimized MnVSiRu structure. Source: Alexandria, functional PBE.

Cell: 5.8080 5.8080 5.8080 Å, 90.00 90.00 90.00°
Space group F-43m (No. 216)
Inequivalent atoms, fractional coordinates:
Mn: 0.0000 0.0000 0.0000
V: 0.2500 0.2500 0.7500
Si: 0.2500 0.2500 0.2500
Ru: 0.0000 0.0000 0.5000

## Properties
The calculation puts the energy at -0.3233 hartree per atom. The formation energy from raw total energies comes out at -549.8 meV per atom.

(8)
A geometry-optimized NaHg2OsO6 structure. Source: Alexandria, functional PBE.

Cell: 5.8010 5.7066 10.0597 Å, 90.00 124.08 90.00°
Space group P2_1/c (No. 14)
Inequivalent atoms, fractional coordinates:
Na: 0.0000 0.0000 0.0000
Hg: 0.2309 0.0309 0.7369
Os: 0.5000 0.0000 0.5000
O: 0.1950 0.0852 0.2849
O: 0.2445 0.6518 0.0324
O: 0.4424 0.2205 0.0761

## Properties
The calculation puts the energy at -0.1857 hartree per atom. The formation energy from raw total energies comes out at -763.9 meV per atom.

(9)
A geometry-optimized Dy5HoTm4 structure. Source: Alexandria, functional PBE.

Cell: 10.0656 10.0656 6.2516 Å, 90.00 90.00 90.00°
Space group I4 (No. 79)
Inequivalent atoms, fractional coordinates:
Dy: 0.0000 0.0000 0.0000
Dy: 0.1445 0.7667 0.2711
Ho: 0.0000 0.0000 0.5415
Tm: 0.0489 0.6536 0.7707

## Properties
The calculation puts the energy at -0.1556 hartree per atom. The energy above the most stable polymorph in this dataset comes out at 291.9 meV/atom. The value obtained for the formation energy is 313 meV per atom.